HoMgAgSe3 after structural relaxation, computed with PBE.

Results
raw total energy = -4.3073 eV/atom
symmetry = Cmcm

a b c (Å): 6.861 6.861 10.766
angles (deg): 90.00 90.00 147.06
Positions (direct):
Ho 0.000 0.000 0.000
Ho 0.000 0.000 0.500
Mg 0.229 0.771 0.750
Mg 0.771 0.229 0.250
Ag 0.481 0.519 0.250
Ag 0.519 0.481 0.750
Se 0.118 0.882 0.250
Se 0.351 0.649 0.068
Se 0.351 0.649 0.432
Se 0.649 0.351 0.568
Se 0.649 0.351 0.932
Se 0.882 0.118 0.750

=====

TbHoMg2Ag4 after structural relaxation, computed with PBE.

Results
raw total energy = -3.2585 eV/atom
symmetry = P4/mmm

a b c (Å): 4.910 4.910 6.945
angles (deg): 90.00 90.00 90.00
Positions (direct):
Tb 0.000 0.000 0.000
Ho 0.500 0.500 0.500
Mg 0.000 0.000 0.500
Mg 0.500 0.500 0.000
Ag 0.000 0.500 0.251
Ag 0.000 0.500 0.749
Ag 0.500 0.000 0.251
Ag 0.500 0.000 0.749

=====

HoMgAgTe3 after structural relaxation, computed with PBE.

Results
raw total energy = -3.8370 eV/atom
symmetry = Cmcm

a b c (Å): 7.419 7.419 11.294
angles (deg): 90.00 90.00 147.55
Positions (direct):
Ho 0.000 0.000 0.000
Ho 0.000 0.000 0.500
Mg 0.221 0.779 0.750
Mg 0.779 0.221 0.250
Ag 0.479 0.521 0.250
Ag 0.521 0.479 0.750
Te 0.114 0.886 0.250
Te 0.350 0.650 0.066
Te 0.350 0.650 0.434
Te 0.650 0.350 0.566
Te 0.650 0.350 0.934
Te 0.886 0.114 0.750